20
Lattice="13.244 0.000 0.000 0.000 4.407 0.000 -4.599 0.000 12.527" Properties=species:S:1:pos:R:3 comment="AcSb3Te6 (PBE-GGA, relaxed)" e_form_raw_kj_per_mol_fu=-458 sg="P2_1/m (11)" e_tot_ev_per_atom=-4.01 pbc="T T T"
Ac 2.409 1.102 0.517
Ac 6.237 3.305 12.009
Sb -0.702 3.305 3.827
Sb 2.544 1.102 5.639
Sb 1.244 3.305 10.690
Sb 7.402 1.102 1.837
Sb 6.102 3.305 6.888
Sb 9.347 1.102 8.700
Te -3.753 3.305 11.066
Te -0.440 1.102 5.876
Te -0.575 1.102 9.966
Te 2.125 3.305 3.213
Te 5.009 3.305 0.942
Te 2.927 3.305 7.615
Te 5.719 1.102 4.912
Te 3.636 1.102 11.585
Te 6.520 1.102 9.313
Te 9.220 3.305 2.560
Te 9.086 3.305 6.651
Te 12.398 1.102 1.460